# 1
Entry from the Alexandria database: Ac6YS8 after structural relaxation (PBE).

The space group is Fm-3m (No. 225) and the conventional cell measures 12.0835, 12.0835 and 12.0835 Å, with angles of 90.00, 90.00 and 90.00 degrees. The distinct sites, in fractional coordinates, are Ac at (0.0000, 0.2500, 0.2500), Y at (0.0000, 0.0000, 0.0000), S at (0.0000, 0.0000, 0.2331) and S at (0.2500, 0.2500, 0.2500).

For the formation energy without anion corrections, the calculation gives -2.045 eV per atom.

***

# 2
Entry from the Alexandria database: Ac3Y5S12 after structural relaxation (PBE).

The space group is Ia-3d (No. 230) and the conventional cell measures 16.6057, 16.6057 and 16.6057 Å, with angles of 90.00, 90.00 and 90.00 degrees. The distinct sites, in fractional coordinates, are Ac at (0.0000, 0.2500, 0.1250), Y at (0.0000, 0.0000, 0.0000), Y at (0.0000, 0.2500, 0.3750) and S at (0.0238, 0.0637, 0.6511).

For the formation energy without anion corrections, the calculation gives -2.033 eV per atom.

***

# 3
Entry from the Alexandria database: Ac3YS4 after structural relaxation (PBE).

The space group is P2/c (No. 13) and the conventional cell measures 7.3664, 8.3669 and 7.2807 Å, with angles of 90.00, 109.31 and 90.00 degrees. The distinct sites, in fractional coordinates, are Ac at (0.0000, 0.1249, 0.2500), Ac at (0.0000, 0.3750, 0.7500), Ac at (0.5000, 0.1267, 0.7500), Y at (0.5000, 0.3758, 0.2500), S at (0.2625, 0.1361, 0.0120) and S at (0.2702, 0.3857, 0.4999).

For the formation energy without anion corrections, the calculation gives -1.978 eV per atom.